<w>
Si2TcBr PBE optimized geometry; N(E_F) = 0.76 states/eV per atom; SG = I4/mmm; M_tot = 0.00 Bohr magnetons per cell; crystal system = tetragonal
1.0
4.024 0.000 0.000
0.000 4.024 0.000
0.000 0.000 7.828
Si Tc Br
4 2 2
direct
0.000 0.500 0.250 Si
0.000 0.500 0.750 Si
0.500 0.000 0.250 Si
0.500 0.000 0.750 Si
0.000 0.000 0.000 Tc
0.500 0.500 0.500 Tc
0.000 0.000 0.500 Br
0.500 0.500 0.000 Br


<x>
Si2TcBr PBE optimized geometry; N(E_F) = 0.45 states/eV per atom; SG = C2/m; M_tot = 0.00 Bohr magnetons per cell; crystal system = monoclinic
1.0
8.059 0.000 0.000
0.000 3.331 0.000
-1.901 0.000 5.882
Si Tc Br
4 2 2
direct
0.231 0.000 0.138 Si
0.269 0.500 0.862 Si
0.731 0.500 0.138 Si
0.769 0.000 0.862 Si
0.000 0.500 0.000 Tc
0.500 0.000 0.000 Tc
0.000 0.500 0.500 Br
0.500 0.000 0.500 Br


<y>
Si2TcBr PBE optimized geometry; N(E_F) = 0.54 states/eV per atom; SG = Cmmm; M_tot = 0.00 Bohr magnetons per cell; crystal system = orthorhombic
1.0
5.527 0.000 0.000
0.000 7.489 0.000
0.000 0.000 3.049
Si Tc Br
4 2 2
direct
0.250 0.250 0.000 Si
0.250 0.750 0.000 Si
0.750 0.250 0.000 Si
0.750 0.750 0.000 Si
0.000 0.000 0.500 Tc
0.500 0.500 0.500 Tc
0.000 0.500 0.500 Br
0.500 0.000 0.500 Br


<z>
Si2TcBr PBE optimized geometry; N(E_F) = 0.32 states/eV per atom; SG = Cm; M_tot = 0.00 Bohr magnetons per cell; crystal system = monoclinic
1.0
7.599 0.000 0.000
0.000 3.309 0.000
-1.680 0.000 6.484
Si Tc Br
4 2 2
direct
0.000 0.000 0.000 Si
0.249 0.500 0.151 Si
0.500 0.500 0.000 Si
0.749 0.000 0.151 Si
0.264 0.000 0.862 Tc
0.764 0.500 0.862 Tc
0.009 0.500 0.603 Br
0.509 0.000 0.603 Br


<x> takes first place; second place is 8.1 kJ/mol of atoms up.


<w>
Si2TcBr PBE optimized geometry; N(E_F) = 0.71 states/eV per atom; SG = I-4m2; M_tot = 0.00 Bohr magnetons per cell; crystal system = tetragonal
1.0
4.481 0.000 0.000
0.000 4.481 0.000
0.000 0.000 6.301
Si Tc Br
4 2 2
direct
0.000 0.000 0.000 Si
0.000 0.500 0.250 Si
0.500 0.000 0.750 Si
0.500 0.500 0.500 Si
0.000 0.000 0.500 Tc
0.500 0.500 0.000 Tc
0.000 0.500 0.750 Br
0.500 0.000 0.250 Br


<x>
Si2TcBr PBE optimized geometry; N(E_F) = 0.79 states/eV per atom; SG = Immm; M_tot = 0.00 Bohr magnetons per cell; crystal system = orthorhombic
1.0
2.919 0.000 0.000
0.000 4.637 0.000
0.000 0.000 10.571
Si Tc Br
4 2 2
direct
0.000 0.000 0.196 Si
0.000 0.000 0.804 Si
0.500 0.500 0.304 Si
0.500 0.500 0.696 Si
0.000 0.500 0.500 Tc
0.500 0.000 0.000 Tc
0.000 0.500 0.000 Br
0.500 0.000 0.500 Br


<x> takes first place; second place is 15.0 kJ/mol of atoms up.